1.
First-principles (GGA-PBE) data for a relaxed HoThIrSe crystal, as listed in Alexandria.

Cell: 4.0276 4.0278 7.7288 Å, 90.00 105.10 120.00°
Closest atoms and distances in Å follow each position.
Fractional coordinates of all 4 atoms:
Th1 0.4946 0.1452 0.6551  3 Ir 2.82
Ir1 0.3048 0.5503 0.8706  3 Th 2.82, 3 Ho 2.83
Se1 0.9612 0.3787 0.3548  3 Ho 3.04, 3 Th 3.21
Ho1 0.1173 0.9566 0.0892  3 Ir 2.83, 3 Se 3.04

Computed properties:
formation energy from raw total energies = -1.2403 eV/atom
mass density = 10.71 g cm⁻³
total DFT energy (no corrections) = -7.326 eV per atom



2.
First-principles (GGA-PBE) data for a relaxed HoSi4Ir2 crystal, as listed in Alexandria.

Cell: 4.1477 6.4390 16.5191 Å, 90.00 90.00 90.00°
Closest atoms and distances in Å follow each position.
Fractional coordinates of all 28 atoms:
Ir1 0.2500 0.9813 0.7870  7 Si 2.47-2.57
Si1 0.7500 0.7213 0.3082  3 Ir 2.47-2.48, 2 Si 2.64-2.76
Si2 0.7500 0.1879 0.8181  4 Ir 2.48-2.57, 1 Si 2.64
Si3 0.2500 0.3631 0.0339  3 Ir 2.47-2.50, 1 Si 2.66
Si4 0.7500 0.8631 0.4661  3 Ir 2.47-2.50, 1 Si 2.66
Si5 0.2500 0.0367 0.9349  4 Ir 2.46-2.54, 1 Si 2.66
Si6 0.2500 0.2787 0.6918  3 Ir 2.47-2.48, 2 Si 2.64-2.76
Ir2 0.2500 0.5187 0.2870  7 Si 2.47-2.57
Ir3 0.2500 0.7513 0.0334  7 Si 2.46-2.54
Ho1 0.7500 0.0024 0.6413  9 Si 2.86-3.15, 4 Ir 3.18-3.19
Si7 0.7500 0.7787 0.8082  3 Ir 2.47-2.48, 2 Si 2.64-2.76
Si8 0.2500 0.2213 0.1918  3 Ir 2.47-2.48, 2 Si 2.64-2.76
Ir4 0.7500 0.0187 0.2130  7 Si 2.47-2.57
Si9 0.2500 0.8121 0.1819  4 Ir 2.48-2.57, 1 Si 2.64
Si10 0.7500 0.5367 0.5651  4 Ir 2.46-2.54, 1 Si 2.66
Ir5 0.7500 0.4813 0.7130  7 Si 2.47-2.57
Ir6 0.2500 0.7487 0.5334  7 Si 2.46-2.54
Ir7 0.7500 0.2487 0.9666  7 Si 2.46-2.54
Si11 0.7500 0.9633 0.0651  4 Ir 2.46-2.54, 1 Si 2.66
Ho2 0.2500 0.9976 0.3587  9 Si 2.86-3.15, 4 Ir 3.18-3.19
Ho3 0.7500 0.4976 0.1413  9 Si 2.86-3.15, 4 Ir 3.18-3.19
Si12 0.2500 0.1369 0.5339  3 Ir 2.47-2.50, 1 Si 2.66
Si13 0.7500 0.6369 0.9661  3 Ir 2.47-2.50, 1 Si 2.66
Si14 0.2500 0.4633 0.4349  4 Ir 2.46-2.54, 1 Si 2.66
Ir8 0.7500 0.2513 0.4666  7 Si 2.46-2.54
Ho4 0.2500 0.5024 0.8587  9 Si 2.86-3.15, 4 Ir 3.18-3.19
Si15 0.2500 0.6879 0.6819  4 Ir 2.48-2.57, 1 Si 2.64
Si16 0.7500 0.3121 0.3181  4 Ir 2.48-2.57, 1 Si 2.64

Computed properties:
formation energy from raw total energies = -0.7866 eV/atom
mass density = 9.96 g cm⁻³
total DFT energy (no corrections) = -7.071 eV per atom



3.
First-principles (GGA-PBE) data for a relaxed Ho3Si2Ir3 crystal, as listed in Alexandria.

Cell: 5.5189 7.5398 14.7373 Å, 90.00 90.00 90.00°
Closest atoms and distances in Å follow each position.
Fractional coordinates of all 32 atoms:
Ho1 0.6308 0.0260 0.6081  3 Si 2.94-3.03, 7 Ir 2.98-3.28
Ho2 0.5977 0.3282 0.2500  5 Ir 2.84-3.10, 4 Si 3.07-3.10
Si1 0.6221 0.6240 0.1038  4 Ir 2.38-2.49
Si2 0.6221 0.6240 0.3962  4 Ir 2.38-2.49
Ho3 0.8692 0.5260 0.6081  3 Si 2.94-3.03, 7 Ir 2.98-3.28
Si3 0.1221 0.8760 0.6038  4 Ir 2.38-2.49
Si4 0.8779 0.1240 0.1038  4 Ir 2.38-2.49
Ir1 0.8993 0.8312 0.4604  3 Si 2.38-2.47
Ir2 0.0904 0.1790 0.2500  2 Si 2.49
Ir3 0.9096 0.8210 0.7500  2 Si 2.49
Ho4 0.1308 0.4740 0.1081  3 Si 2.94-3.03, 7 Ir 2.98-3.28
Si5 0.3779 0.3760 0.6038  4 Ir 2.38-2.49
Ir4 0.1007 0.1688 0.9604  3 Si 2.38-2.47
Ir5 0.4096 0.6790 0.2500  2 Si 2.49
Ho5 0.9023 0.8282 0.2500  5 Ir 2.84-3.10, 4 Si 3.07-3.10
Ir6 0.6007 0.3312 0.0396  3 Si 2.38-2.47
Ir7 0.3993 0.6688 0.9604  3 Si 2.38-2.47
Ho6 0.3692 0.9740 0.1081  3 Si 2.94-3.03, 7 Ir 2.98-3.28
Ir8 0.5904 0.3210 0.7500  2 Si 2.49
Ho7 0.4023 0.6718 0.7500  5 Ir 2.84-3.10, 4 Si 3.07-3.10
Si6 0.8779 0.1240 0.3962  4 Ir 2.38-2.49
Si7 0.1221 0.8760 0.8962  4 Ir 2.38-2.49
Ir9 0.6007 0.3312 0.4604  3 Si 2.38-2.47
Ho8 0.0977 0.1718 0.7500  5 Ir 2.84-3.10, 4 Si 3.07-3.10
Ho9 0.6308 0.0260 0.8919  3 Si 2.94-3.03, 7 Ir 2.98-3.28
Si8 0.3779 0.3760 0.8962  4 Ir 2.38-2.49
Ho10 0.8692 0.5260 0.8919  3 Si 2.94-3.03, 7 Ir 2.98-3.28
Ho11 0.1308 0.4740 0.3919  3 Si 2.94-3.03, 7 Ir 2.98-3.28
Ir10 0.8993 0.8312 0.0396  3 Si 2.38-2.47
Ir11 0.1007 0.1688 0.5396  3 Si 2.38-2.47
Ho12 0.3692 0.9740 0.3919  3 Si 2.94-3.03, 7 Ir 2.98-3.28
Ir12 0.3993 0.6688 0.5396  3 Si 2.38-2.47

Computed properties:
formation energy from raw total energies = -1.0423 eV/atom
mass density = 12.21 g cm⁻³
total DFT energy (no corrections) = -7.438 eV per atom



4.
First-principles (GGA-PBE) data for a relaxed Ho2Si3Ir2 crystal, as listed in Alexandria.

Cell: 4.1185 5.4423 6.5734 Å, 113.62 90.00 112.23°
Closest atoms and distances in Å follow each position.
Fractional coordinates of all 7 atoms:
Si1 0.5000 0.0000 0.0000  4 Ir 2.56, 2 Si 2.60
Ir1 0.8641 0.7281 0.7740  5 Si 2.49-2.56
Ho1 0.8491 0.6981 0.2264  4 Ir 2.89-3.04, 6 Si 2.93-3.22
Si2 0.3794 0.7589 0.5612  3 Ir 2.49-2.53, 1 Si 2.60
Ho2 0.1509 0.3019 0.7736  4 Ir 2.89-3.04, 6 Si 2.93-3.22
Ir2 0.1359 0.2719 0.2260  5 Si 2.49-2.56
Si3 0.6206 0.2411 0.4388  3 Ir 2.49-2.53, 1 Si 2.60

Computed properties:
formation energy from raw total energies = -0.8365 eV/atom
relative energy among the computed polymorphs = 81 meV per atom
mass density = 10.79 g cm⁻³
total DFT energy (no corrections) = -7.000 eV per atom